Density functional theory data (GGA-PBE) for OsPtCl2 after structural relaxation.

Formation energy without anion corrections, eV per formula unit: 5.28

abc: 4.076 4.076 8.130
angles: 90.00 90.00 90.00
Space group I4/mmm (No. 139)
Asymmetric unit:
Os (0.000, 0.000, 0.000) (multiplicity 2)
Pt (0.000, 0.000, 0.500) (multiplicity 2)
Cl (0.000, 0.500, 0.250) (multiplicity 4)

Density functional theory data (GGA-PBE) for OsPtCl2 after structural relaxation.

Formation energy without anion corrections, eV per formula unit: 1.92

abc: 2.7920 2.7920 35.6853
angles: 90.00 90.00 120.00
Space group R-3m (No. 166, hexagonal axes)
Asymmetric unit:
Os (0.0000, 0.0000, 0.0000) (multiplicity 3)
Pt (0.0000, 0.0000, 0.5000) (multiplicity 3)
Cl (0.0000, 0.0000, 0.0624) (multiplicity 6)

Density functional theory data (GGA-PBE) for OsPtCl2 after structural relaxation.

Formation energy without anion corrections, eV per formula unit: 4.62

abc: 6.406 6.406 6.406
angles: 90.00 90.00 90.00
Space group F-43m (No. 216)
Asymmetric unit:
Os (0.000, 0.000, 0.000) (multiplicity 4)
Pt (0.250, 0.250, 0.250) (multiplicity 4)
Cl (0.000, 0.000, 0.500) (multiplicity 4)
Cl (0.250, 0.250, 0.750) (multiplicity 4)

The records above give, respectively, magnetization values of 2.52 0.00 0.00 μB/f.u..